No. 1
VASP calculation (PBE) on a geometry-optimized RbPaTlO6 structure.

The structure in POSCAR format:
```
RbPaTlO6
1.0
-4.558 -1.451 -0.844
0.370 -3.949 4.785
-2.017 5.808 0.913
O Pa Rb Tl
6 1 1 1
Direct
0.238 0.251 0.341 O
0.762 0.659 0.749 O
0.238 0.659 0.910 O
0.762 0.251 0.910 O
0.238 0.090 0.749 O
0.762 0.090 0.341 O
0.000 0.333 0.667 Pa
0.500 0.667 0.333 Rb
0.500 0.000 0.000 Tl
```

- formation energy without anion corrections (eV/f.u.) = -12.985


No. 2
VASP calculation (PBE) on a geometry-optimized Rb4Pa3TlO12 structure.

The structure in POSCAR format:
```
Rb4Pa3TlO12
1.0
-3.082 6.810 -1.592
-5.508 -5.292 0.255
3.537 0.324 6.767
Rb O Pa Tl
4 12 3 1
Direct
0.500 0.000 0.000 Rb
0.000 0.000 0.500 Rb
0.000 0.500 0.000 Rb
0.500 0.500 0.500 Rb
0.250 0.500 0.750 O
0.250 0.750 0.500 O
0.000 0.263 0.263 O
0.750 0.500 0.250 O
0.263 0.263 0.000 O
0.750 0.250 0.500 O
0.263 0.000 0.263 O
0.737 0.000 0.737 O
0.500 0.750 0.250 O
0.000 0.737 0.737 O
0.500 0.250 0.750 O
0.737 0.737 0.000 O
0.500 0.500 0.000 Pa
0.500 0.000 0.500 Pa
0.000 0.500 0.500 Pa
0.000 0.000 0.000 Tl
```

- formation energy without anion corrections (eV/f.u.) = -49.400


No. 3
VASP calculation (PBE) on a geometry-optimized RbPaTlO4 structure.

The structure in POSCAR format:
```
RbPaTlO4
1.0
7.499 0.000 0.000
-3.750 6.512 -0.204
0.000 -3.697 6.080
O Pa Tl Rb
8 2 2 2
Direct
0.328 0.013 0.757 O
0.698 0.396 0.236 O
0.672 0.987 0.243 O
0.302 0.604 0.339 O
0.685 0.013 0.757 O
0.698 0.396 0.661 O
0.302 0.604 0.764 O
0.315 0.987 0.243 O
0.500 0.000 0.000 Pa
0.500 0.000 0.500 Pa
0.500 0.500 0.500 Tl
0.000 0.500 0.500 Tl
0.135 0.269 0.885 Rb
0.865 0.731 0.115 Rb
```

- formation energy without anion corrections (eV/f.u.) = -15.733